No. 1
# CePr3Tl4 PBE optimized geometry
data_CePr3Tl4
_symmetry_space_group_name_H-M 'I m m m'
_symmetry_Int_Tables_number 71
_symmetry_space_group_name_Hall '-I 2 2'
_cell_length_a 3.831
_cell_length_b 7.715
_cell_length_c 17.896
_cell_angle_alpha 90.00
_cell_angle_beta 90.00
_cell_angle_gamma 90.00
loop_
_atom_site_label
_atom_site_type_symbol
_atom_site_fract_x
_atom_site_fract_y
_atom_site_fract_z
Ce1 Ce 0.000 0.000 0.000
Pr1 Pr 0.000 0.000 0.500
Pr2 Pr 0.000 0.500 0.295
Tl1 Tl 0.000 0.297 0.129
# E above lowest polymorph in meV/atom: 151

***

No. 2
# Mg3PN PBE optimized geometry
data_Mg3PN
_symmetry_space_group_name_H-M 'P 4/m b m'
_symmetry_Int_Tables_number 127
_symmetry_space_group_name_Hall '-P 4 2ab'
_cell_length_a 5.900
_cell_length_b 5.900
_cell_length_c 4.221
_cell_angle_alpha 90.00
_cell_angle_beta 90.00
_cell_angle_gamma 90.00
loop_
_atom_site_label
_atom_site_type_symbol
_atom_site_fract_x
_atom_site_fract_y
_atom_site_fract_z
Mg1 Mg 0.000 0.000 0.000
Mg2 Mg 0.203 0.297 0.500
P1 P 0.000 0.500 0.000
N1 N 0.000 0.000 0.500
# Energy relative to the elements, uncorrected in eV/f.u.: -3.7
# E above lowest polymorph in meV/atom: 0

***

No. 3
# BeHgW2 PBE optimized geometry
data_BeHgW2
_symmetry_space_group_name_H-M 'P m m m'
_symmetry_Int_Tables_number 47
_cell_length_a 2.748
_cell_length_b 4.145
_cell_length_c 5.560
_cell_angle_alpha 90.00
_cell_angle_beta 90.00
_cell_angle_gamma 90.00
loop_
_symmetry_equiv_pos_as_xyz
'x,y,z'
'-x,-y,-z'
'-x,-y,z'
'x,y,-z'
'x,-y,-z'
'-x,y,z'
'-x,y,-z'
'x,-y,z'
loop_
_atom_site_label
_atom_site_type_symbol
_atom_site_fract_x
_atom_site_fract_y
_atom_site_fract_z
Be1 Be 0.000 0.000 0.000
Hg1 Hg 0.000 0.000 0.500
W1 W 0.500 0.500 0.222
# E above lowest polymorph in meV/atom: 217

***

Question: Which value of E above lowest polymorph does entry 1 give?
Answer: 151 meV/atom

***

Question: Among the records above, which one has the lowest E above lowest polymorph?
Answer: Mg3PN

***

Question: What is the E above lowest polymorph in the second record?
Answer: 0 meV/atom